Material: DyY6Ho2Th3
Method: DFT, PBE
State: relaxed

Raw total energy   -6.206 eV/atom
Formation enthalpy at 0 K   0.03 eV per atom

a b c (Å): 6.192 10.720 11.754
angles (deg): 90.00 100.13 90.00
Space group C2/m (No. 12)
Symmetry-distinct sites (fractional):
Dy (0.000, 0.000, 0.000) x2
Y (0.249, 0.000, 0.747) x4
Y (0.249, 0.333, 0.747) x8
Ho (0.000, 0.333, 0.000) x4
Th (0.000, 0.167, 0.500) x4
Th (0.000, 0.500, 0.500) x2